No. 1
DFT (PBE-GGA) results for a relaxed Ag2TeIF crystal.

Lattice parameters (Å, degrees): 5.4879 4.3753 5.4879 90.00 90.00 90.00
Sites, in units of the cell vectors:
Ag1 0.5000 0.0000 0.0000
Ag2 0.0000 0.0000 0.5000
Te1 0.0000 0.0000 0.0000
I1 0.5000 0.5000 0.5000
F1 0.0000 0.5000 0.0000

Calculated values
* formation energy from raw total energies: -0.420 eV per atom
* N(E_F): 0.53 states/eV/f.u.
* space group: No. 123



No. 2
DFT (PBE-GGA) results for a relaxed Er3Pd crystal.

Lattice parameters (Å, degrees): 3.6122 3.4838 9.0191 90.00 90.00 90.00
Sites, in units of the cell vectors:
Er1 0.5000 0.0000 0.7426
Er2 0.0000 0.5000 0.4691
Er3 0.5000 0.5000 0.1342
Pd1 0.0000 0.0000 0.9874

Calculated values
* E_form: -227 meV/atom
* N(E_F): 5.89 states/eV/f.u.
* space group: No. 25



No. 3
DFT (PBE-GGA) results for a relaxed Rb2TcBr4O2 crystal.

Lattice parameters (Å, degrees): 7.4622 7.4369 7.4369 61.02 58.11 58.11
Last column: magnetic moment on the atom in μB.
Sites, in units of the cell vectors:
O1 0.2703 0.1712 0.1712  -0.04
O2 0.7297 0.8288 0.8288  -0.04
Rb1 0.1999 0.7499 0.7499  0.00
Rb2 0.8001 0.2501 0.2501  0.00
Br1 0.7068 0.2750 0.7907  0.04
Br2 0.7068 0.7907 0.2750  0.04
Br3 0.2932 0.7250 0.2093  0.04
Br4 0.2932 0.2093 0.7250  0.04
Tc1 0.5000 0.0000 0.0000  0.77

Calculated values
* formation energy from raw total energies: -1.184 eV per atom
* N(E_F): 0.08 states/eV/f.u.
* space group: No. 12



No. 4
DFT (PBE-GGA) results for a relaxed InSi2AgPd crystal.

Lattice parameters (Å, degrees): 4.7267 5.3143 4.7267 90.00 90.00 90.00
Sites, in units of the cell vectors:
In1 0.0000 0.5000 0.0000
Si1 0.0000 0.0000 0.5000
Si2 0.5000 0.0000 0.0000
Pd1 0.5000 0.5000 0.5000
Ag1 0.0000 0.0000 0.0000

Calculated values
* formation energy from raw total energies: 0.920 eV per atom
* N(E_F): 1.75 states/eV/f.u.
* space group: No. 123



No. 5
DFT (PBE-GGA) results for a relaxed Eu2IrPt crystal.

Lattice parameters (Å, degrees): 3.4743 3.4743 7.3656 90.00 90.00 90.00
Last column: magnetic moment on the atom in μB.
Sites, in units of the cell vectors:
Pt1 0.5000 0.5000 0.5000  -0.14
Eu1 0.0000 0.0000 0.7533  6.67
Eu2 0.0000 0.0000 0.2467  6.67
Ir1 0.5000 0.5000 0.0000  -0.27

Calculated values
* E_form: -529 meV/atom
* N(E_F): 14.41 states/eV/f.u.
* space group: No. 123



No. 6
DFT (PBE-GGA) results for a relaxed RbCeScI6 crystal.

Lattice parameters (Å, degrees): 7.8379 7.8379 16.8294 90.00 90.00 120.00
Last column: magnetic moment on the atom in μB.
Sites, in units of the cell vectors:
I1 0.0220 0.6507 0.3557  -0.01
I2 0.9780 0.3493 0.6443  -0.01
I3 0.6287 0.6507 0.1443  -0.01
I4 0.6287 0.9780 0.3557  -0.01
I5 0.9780 0.6287 0.8557  -0.01
I6 0.6507 0.6287 0.6443  -0.01
I7 0.3493 0.9780 0.1443  -0.01
I8 0.3713 0.0220 0.6443  -0.01
I9 0.3713 0.3493 0.8557  -0.01
I10 0.3493 0.3713 0.3557  -0.01
I11 0.0220 0.3713 0.1443  -0.01
I12 0.6507 0.0220 0.8557  -0.01
Sc1 0.6667 0.3333 0.7500  0.49
Sc2 0.3333 0.6667 0.2500  0.49
Rb1 0.0000 0.0000 0.5000  0.00
Rb2 0.0000 0.0000 0.0000  0.00
Ce1 0.6667 0.3333 0.2500  1.24
Ce2 0.3333 0.6667 0.7500  1.24

Calculated values
* formation energy from raw total energies: -1.297 eV per atom
* N(E_F): 11.81 states/eV/f.u.
* space group: No. 163



No. 7
DFT (PBE-GGA) results for a relaxed Na4B7C crystal.

Lattice parameters (Å, degrees): 9.1891 9.1891 10.6666 106.97 106.97 17.87
Sites, in units of the cell vectors:
B1 0.3748 0.3748 0.3632
B2 0.6252 0.6252 0.6368
B3 0.8752 0.8752 0.1026
B4 0.1252 0.1252 0.7335
B5 0.1248 0.1248 0.8974
B6 0.6251 0.6251 0.4752
B7 0.8751 0.8751 0.6210
B8 0.6246 0.6246 0.9905
B9 0.8748 0.8748 0.2665
B10 0.6250 0.6250 0.1573
B11 0.3750 0.3750 0.8427
B12 0.3749 0.3749 0.5248
B13 0.1249 0.1249 0.3790
B14 0.3754 0.3754 0.0095
Na1 0.5018 0.5018 0.7520
Na2 0.7494 0.7494 0.8752
Na3 0.0000 0.0000 0.5000
Na4 0.2506 0.2506 0.1248
Na5 0.4982 0.4982 0.2480
Na6 0.7514 0.7514 0.3759
Na7 0.0000 0.0000 0.0000
Na8 0.2486 0.2486 0.6241
C1 0.8750 0.8750 0.7708
C2 0.1250 0.1250 0.2292

Calculated values
* E_form: 234 meV/atom
* N(E_F): 3.55 states/eV/f.u.
* ΔE to the lowest computed polymorph: 0.0114 eV/atom
* space group: No. 12



No. 8
DFT (PBE-GGA) results for a relaxed AcNdSnBi crystal.

Lattice parameters (Å, degrees): 5.7322 5.7322 5.7322 60.00 60.00 60.00
Sites, in units of the cell vectors:
Nd1 0.5000 0.5000 0.5000
Bi1 0.7500 0.7500 0.7500
Sn1 0.2500 0.2500 0.2500
Ac1 0.0000 0.0000 0.0000

Calculated values
* E_form: -609 meV/atom
* N(E_F): 5.18 states/eV/f.u.
* space group: No. 216



No. 9
DFT (PBE-GGA) results for a relaxed CePu2Cd2Pb2 crystal.

Lattice parameters (Å, degrees): 5.1528 5.1528 8.9329 73.24 73.24 60.00
Last column: magnetic moment on the atom in μB.
Sites, in units of the cell vectors:
Pb1 0.2723 0.2723 0.1830  -0.03
Pb2 0.7277 0.7277 0.8170  -0.03
Ce1 0.0000 0.0000 0.0000  1.08
Cd1 0.5668 0.5668 0.2996  0.02
Cd2 0.4332 0.4332 0.7004  0.02
Pu1 0.1437 0.1437 0.5688  5.76
Pu2 0.8563 0.8563 0.4312  5.76

Calculated values
* E_form: -82 meV/atom
* N(E_F): 16.68 states/eV/f.u.
* space group: No. 166



No. 10
DFT (PBE-GGA) results for a relaxed Pa2MnC4 crystal.

Lattice parameters (Å, degrees): 5.0461 6.5956 6.5956 69.41 67.51 67.51
Last column: magnetic moment on the atom in μB.
Sites, in units of the cell vectors:
C1 0.5908 0.7387 0.0798  -0.02
C2 0.8724 0.7714 0.4838  0.00
C3 0.1276 0.2286 0.5162  0.00
C4 0.4092 0.2613 0.9202  -0.02
C5 0.0908 0.0798 0.7387  -0.02
C6 0.6276 0.5162 0.2286  0.00
C7 0.3724 0.4838 0.7714  0.00
C8 0.9092 0.9202 0.2613  -0.02
Mn1 0.7500 0.0000 0.0000  1.49
Mn2 0.2500 0.0000 0.0000  1.49
Pa1 0.1410 0.5285 0.1895  0.12
Pa2 0.3590 0.8105 0.4715  0.12
Pa3 0.6410 0.1895 0.5285  0.12
Pa4 0.8590 0.4715 0.8105  0.12

Calculated values
* E_form: -253 meV/atom
* N(E_F): 5.41 states/eV/f.u.
* space group: No. 72



No. 11
DFT (PBE-GGA) results for a relaxed Cs3Pu2PaS6 crystal.

Lattice parameters (Å, degrees): 7.1986 7.1986 8.4182 98.19 98.19 119.99
Last column: magnetic moment on the atom in μB.
Sites, in units of the cell vectors:
S1 0.7378 0.7378 0.1818  -0.06
S2 0.2622 0.2622 0.8182  -0.06
S3 0.3832 0.0602 0.1808  -0.06
S4 0.9398 0.6168 0.8192  -0.06
S5 0.6168 0.9398 0.8192  -0.06
S6 0.0602 0.3832 0.1808  -0.06
Pu1 0.3335 0.6665 0.0000  5.31
Pu2 0.6665 0.3335 0.0000  5.31
Cs1 0.8309 0.1691 0.5000  0.01
Cs2 0.1691 0.8309 0.5000  0.01
Cs3 0.5000 0.5000 0.5000  0.01
Pa1 0.0000 0.0000 0.0000  0.94

Calculated values
* formation energy from raw total energies: -1.551 eV per atom
* N(E_F): 25.56 states/eV/f.u.
* space group: No. 12



No. 12
DFT (PBE-GGA) results for a relaxed Ce6Se5S crystal.

Lattice parameters (Å, degrees): 7.2191 7.2196 7.2216 60.01 80.39 70.49
Last column: magnetic moment on the atom in μB.
Sites, in units of the cell vectors:
Se1 0.0000 0.6660 0.6681  -0.02
Se2 0.5000 0.1706 0.6588  -0.02
Se3 0.5000 0.5000 0.0000  -0.02
Se4 0.0000 0.3340 0.3319  -0.02
Se5 0.5000 0.8294 0.3412  -0.02
Ce1 0.7541 0.7582 0.0000  0.72
Ce2 0.2459 0.2418 0.0000  0.72
Ce3 0.7571 0.0807 0.3242  0.70
Ce4 0.2429 0.5951 0.3242  0.70
Ce5 0.7571 0.4049 0.6758  0.70
Ce6 0.2429 0.9193 0.6758  0.70
S1 0.0000 0.0000 0.0000  -0.02

Calculated values
* formation energy from raw total energies: -1.850 eV per atom
* N(E_F): 35.52 states/eV/f.u.
* space group: No. 12